Ba2CdOsAu (PBE, relaxed); ρ = 6.356 g/cm³; calculated formation energy = 0.76 eV per atom; crystal system = tetragonal
1.0
6.365 0.000 0.000
0.000 6.365 0.000
0.000 0.000 4.993
Ba Cd Os Au
2 1 1 1
Direct
0.000 0.500 0.000
0.500 0.000 0.000
0.000 0.000 0.000
0.000 0.000 0.500
0.500 0.500 0.500

=====

BaCd2PAu (PBE, relaxed); ρ = 5.954 g/cm³; calculated formation energy = -0.12 eV per atom; crystal system = tetragonal
1.0
5.130 0.000 0.000
0.000 5.130 0.000
0.000 0.000 6.254
Ba Cd P Au
1 2 1 1
Direct
0.000 0.000 0.000
0.000 0.500 0.500
0.500 0.000 0.500
0.000 0.000 0.500
0.500 0.500 0.000

=====

BaCd2PbAu2 (PBE, relaxed); ρ = 9.749 g/cm³; calculated formation energy = -0.34 eV per atom; crystal system = trigonal
1.0
4.975 0.000 0.000
-2.487 4.308 0.000
0.000 0.000 7.655
Ba Cd Pb Au
1 2 1 2
Direct
0.000 0.000 0.000
0.333 0.667 0.703
0.667 0.333 0.297
0.000 0.000 0.500
0.333 0.667 0.277
0.667 0.333 0.723

=====

Ba2CdPbAu6 (PBE, relaxed); ρ = 9.501 g/cm³; calculated formation energy = -0.24 eV per atom; crystal system = cubic
1.0
0.000 5.374 5.374
5.374 0.000 5.374
5.374 5.374 0.000
Ba Cd Pb Au
2 1 1 6
Direct
0.250 0.250 0.250
0.750 0.750 0.750
0.000 0.000 0.000
0.500 0.500 0.500
0.246 0.246 0.754
0.246 0.754 0.246
0.246 0.754 0.754
0.754 0.246 0.246
0.754 0.246 0.754
0.754 0.754 0.246